1.
Density functional theory data (PBE-GGA) for a relaxed NbHS2 crystal. Values from VASP.

Calculated volume: 16.512 Å³ per atom
E_tot: -43.7 eV for the cell shown
Total magnetic moment: 0.00 μB/f.u.

Structure (Quantum ESPRESSO input):
```
&SYSTEM
  ibrav = 0, nat = 8, ntyp = 3
/
ATOMIC_SPECIES
Nb 92.91 Nb.upf
S 32.06 S.upf
H 1.01 H.upf
ATOMIC_POSITIONS crystal
Nb 0.750 0.250 0.500
S 0.173 0.625 0.250
H 0.250 0.750 0.500
Nb 0.000 0.000 0.000
S 0.577 0.125 0.250
H 0.500 0.500 0.000
S 0.875 0.827 0.750
S 0.375 0.423 0.750
CELL_PARAMETERS angstrom
-3.815 2.734 -2.372
2.062 -1.190 -4.688
-3.578 -3.164 -3.720
```

***

2.
Density functional theory data (PBE-GGA) for a relaxed NbHS2 crystal. Values from VASP.

Calculated volume: 16.833 Å³ per atom
E_tot: -25.0 eV for the cell shown
Total magnetic moment: 0.00 μB/f.u.

Structure (Quantum ESPRESSO input):
```
&SYSTEM
  ibrav = 0, nat = 4, ntyp = 3
/
ATOMIC_SPECIES
S 32.06 S.upf
Nb 92.91 Nb.upf
H 1.01 H.upf
ATOMIC_POSITIONS crystal
S 0.048 0.048 0.862
Nb 0.792 0.792 0.625
H 0.458 0.458 0.625
S 0.202 0.202 0.387
CELL_PARAMETERS angstrom
3.265 0.001 0.742
1.547 2.876 0.742
0.044 0.026 7.186
```

***

3.
Density functional theory data (PBE-GGA) for a relaxed NbHS3 crystal. Values from VASP.

Calculated volume: 22.125 Å³ per atom
E_tot: -24.9 eV for the cell shown
Total magnetic moment: 0.99 μB/f.u.

Structure (Quantum ESPRESSO input):
```
&SYSTEM
  ibrav = 0, nat = 5, ntyp = 3
/
ATOMIC_SPECIES
S 32.06 S.upf
H 1.01 H.upf
Nb 92.91 Nb.upf
ATOMIC_POSITIONS crystal
S 0.000 0.000 0.500
S 0.500 0.000 0.000
H 0.500 0.500 0.500
S 0.000 0.500 0.000
Nb 0.000 0.000 0.000
CELL_PARAMETERS angstrom
4.801 0.000 0.000
0.000 4.801 0.000
0.000 0.000 4.801
```

***

4.
Density functional theory data (PBE-GGA) for a relaxed NbHS3 crystal. Values from VASP.

Calculated volume: 13.180 Å³ per atom
E_tot: -22.3 eV for the cell shown
Total magnetic moment: 0.00 μB/f.u.

Structure (Quantum ESPRESSO input):
```
&SYSTEM
  ibrav = 0, nat = 5, ntyp = 3
/
ATOMIC_SPECIES
S 32.06 S.upf
Nb 92.91 Nb.upf
H 1.01 H.upf
ATOMIC_POSITIONS crystal
S 0.500 0.000 0.000
Nb 0.500 0.500 0.500
S 0.000 0.000 0.500
H 0.000 0.000 0.000
S 0.000 0.500 0.000
CELL_PARAMETERS angstrom
-1.954 -3.353 -1.122
0.089 -1.328 3.814
-3.534 1.820 0.716
```

***

5.
Density functional theory data (PBE-GGA) for a relaxed NbHS2 crystal. Values from VASP.

Calculated volume: 15.860 Å³ per atom
E_tot: -24.2 eV for the cell shown
Total magnetic moment: 0.00 μB/f.u.

Structure (Quantum ESPRESSO input):
```
&SYSTEM
  ibrav = 0, nat = 4, ntyp = 3
/
ATOMIC_SPECIES
Nb 92.91 Nb.upf
S 32.06 S.upf
H 1.01 H.upf
ATOMIC_POSITIONS crystal
Nb 0.500 0.500 0.500
S 0.086 0.086 0.086
H 0.000 0.000 0.000
S 0.914 0.914 0.914
CELL_PARAMETERS angstrom
-6.102 2.642 0.218
-4.339 4.340 2.570
-4.079 5.209 -0.700
```

***

6.
Density functional theory data (PBE-GGA) for a relaxed Nb2HS4 crystal. Values from VASP.

Calculated volume: 18.404 Å³ per atom
E_tot: -91.1 eV for the cell shown
Total magnetic moment: 0.00 μB/f.u.

Structure (Quantum ESPRESSO input):
```
&SYSTEM
  ibrav = 0, nat = 14, ntyp = 3
/
ATOMIC_SPECIES
Nb 92.91 Nb.upf
S 32.06 S.upf
H 1.01 H.upf
ATOMIC_POSITIONS crystal
Nb 0.177 0.400 0.777
S 0.383 0.617 0.256
S 0.860 0.140 0.720
S 0.873 0.617 0.256
S 0.386 0.122 0.264
Nb 0.600 0.823 0.201
Nb 0.640 0.360 0.281
H 0.938 0.062 0.876
S 0.878 0.614 0.756
S 0.366 0.634 0.732
Nb 0.600 0.399 0.778
S 0.383 0.127 0.767
S 0.878 0.122 0.264
H 0.289 0.713 0.574
CELL_PARAMETERS angstrom
7.142 0.258 -0.122
-0.258 7.132 0.127
-3.353 -3.773 5.047
```